# LiCo2GeN, relaxed, DFT PBE-GGA
# symmetry	P4/mmm (123)
# total DFT energy (no corrections)	-5.953	eV per atom
data_LiCo2GeN
_symmetry_space_group_name_H-M 'P 1'
_symmetry_Int_Tables_number 1
_symmetry_space_group_name_Hall 'P 1'
_cell_length_a 3.7495
_cell_length_b 3.7495
_cell_length_c 3.8633
_cell_angle_alpha 90.00
_cell_angle_beta 90.00
_cell_angle_gamma 90.00
loop_
_atom_site_label
_atom_site_type_symbol
_atom_site_fract_x
_atom_site_fract_y
_atom_site_fract_z
Ge1 Ge 0.5000 0.5000 0.5000
Li1 Li 0.0000 0.0000 0.5000
Co1 Co 0.0000 0.5000 0.0000
Co2 Co 0.5000 0.0000 0.0000
N1 N 0.0000 0.0000 0.0000